(1)
Material: La2Al3Cu4Ag
Method: DFT, PBE
State: relaxed

Geometry as extended XYZ:
```
10
Lattice="4.3173 0.0000 0.0000 0.0000 4.3173 0.0000 0.0000 0.0000 10.3747" Properties=species:S:1:pos:R:3 pbc="T T T"
La 2.1587 0.0000 2.4890
La 0.0000 2.1587 7.8857
Al 0.0000 0.0000 5.1873
Al 2.1587 0.0000 9.1425
Al 0.0000 2.1587 1.2322
Cu 2.1587 2.1587 0.0000
Cu 0.0000 0.0000 0.0000
Cu 2.1587 0.0000 6.6622
Cu 0.0000 2.1587 3.7125
Ag 2.1587 2.1587 5.1873
```

Calculated values
ρ (g/cm3): 6.19
Energy of formation (eV per formula unit): -3.1
Crystal system: tetragonal



(2)
Material: LaTb8Sc2
Method: DFT, PBE
State: relaxed

Geometry as extended XYZ:
```
11
Lattice="4.7784 0.0000 -1.4510 -0.7549 7.4442 -2.4861 0.2143 0.5813 9.2995" Properties=species:S:1:pos:R:3 pbc="T T T"
La 2.3892 0.0000 -0.7255
Tb 2.6564 7.0065 0.1543
Tb 1.7018 4.4808 5.6045
Tb 0.5874 1.6118 1.9344
Tb 4.5340 2.5671 6.3380
Tb 3.6505 6.4137 3.4281
Tb 2.5360 3.5447 -0.2421
Tb 1.5815 1.0191 5.2082
Tb -0.2962 5.4584 -0.9755
Sc 0.7123 4.9908 2.3458
Sc 3.5256 3.0348 3.0167
```

Calculated values
ρ (g/cm3): 7.31
Energy of formation (eV per formula unit): 0.5
Crystal system: monoclinic
Distance to the lowest polymorph of the same formula (meV/atom): 0



(3)
Material: La6Os2I3Cl
Method: DFT, PBE
State: relaxed

Geometry as extended XYZ:
```
12
Lattice="7.4476 0.0002 0.0061 -3.7218 6.4509 0.0061 -1.2357 -2.1395 8.2242" Properties=species:S:1:pos:R:3 pbc="T T T"
La 3.8263 1.9845 6.6658
La 2.3854 4.1303 1.5688
La -1.3362 2.3270 1.5706
La -0.1933 4.3060 6.6658
La 0.1047 0.1812 6.6677
La 2.6834 0.0056 1.5706
Os -0.0013 4.3022 0.0061
Os 3.7271 2.1489 0.0061
I -2.5132 4.3263 4.1182
I 5.0032 -0.0147 4.1182
I 1.2450 2.1558 4.1182
Cl 0.0000 0.0000 0.0000
```

Calculated values
ρ (g/cm3): 6.85
Uncorrected energy (eV for the cell shown): -70.24
Crystal system: monoclinic



For reference, Fermi-level density of states by record: 0.71; 1.54; 0.47 states/eV/atom.